Material: PmDy3Ru8
Method: DFT, GGA-PBE
State: optimized geometry

a = 5.3407 Å, b = 5.3407 Å, c = 26.3524 Å
α = 90.00°, β = 90.00°, γ = 120.00°
Space group R3m (No. 160, hexagonal axes)
Asymmetric unit:
Pm 0.0000 0.0000 0.0000
Dy 0.0000 0.0000 0.1251
Dy 0.0000 0.0000 0.5004
Dy 0.0000 0.0000 0.6249
Ru 0.0000 0.0000 0.3126
Ru 0.0000 0.0000 0.8128
Ru 0.0015 0.5008 0.0637
Ru 0.1679 0.3358 0.8951

Summary:
- calculated formation energy (eV per formula unit) = -3.185
- calculated volume (Å³ per atom) = 18.082
- total magnetization (μB per atom) = 0.0000

---

Material: Pu2ZrBi
Method: DFT, GGA-PBE
State: optimized geometry

a = 4.5136 Å, b = 4.5136 Å, c = 4.9322 Å
α = 90.00°, β = 90.00°, γ = 90.00°
Space group P4/mmm (No. 123)
Asymmetric unit:
Pu 0.0000 0.5000 0.0000
Zr 0.0000 0.0000 0.5000
Bi 0.5000 0.5000 0.5000

Summary:
- calculated formation energy (eV per formula unit) = -0.609
- calculated volume (Å³ per atom) = 25.120
- total magnetization (μB per atom) = 2.7868

---

Material: LiCdO2
Method: DFT, GGA-PBE
State: optimized geometry

a = 3.3486 Å, b = 3.3486 Å, c = 17.5845 Å
α = 90.00°, β = 90.00°, γ = 120.00°
Space group R-3m (No. 166, hexagonal axes)
Asymmetric unit:
Li 0.0000 0.0000 0.0000
Cd 0.0000 0.0000 0.5000
O 0.0000 0.0000 0.1009

Summary:
- uncorrected formation energy (meV per atom) = -898
- calculated volume (Å³ per atom) = 14.230
- total magnetization (μB per atom) = 0.2500

---

Material: K2LiRh
Method: DFT, GGA-PBE
State: optimized geometry

a = 3.5357 Å, b = 3.5357 Å, c = 9.7229 Å
α = 90.00°, β = 90.00°, γ = 90.00°
Space group P4mm (No. 99)
Asymmetric unit:
K 0.0000 0.0000 0.0000
K 0.5000 0.5000 0.4363
Li 0.0000 0.0000 0.6937
Rh 0.5000 0.5000 0.7602

Summary:
- calculated formation energy (eV per formula unit) = 1.306
- calculated volume (Å³ per atom) = 30.387
- total magnetization (μB per atom) = 0.0000

---

Material: Ga2Sn2Br7
Method: DFT, GGA-PBE
State: optimized geometry

a = 7.3482 Å, b = 11.6855 Å, c = 9.3742 Å
α = 90.00°, β = 99.40°, γ = 90.00°
Space group C2/m (No. 12)
Asymmetric unit:
Ga 0.1744 0.0000 0.0750
Sn 0.0000 0.1755 0.5000
Br 0.0000 0.5000 0.0000
Br 0.2069 0.1707 0.2510
Br 0.2286 0.0000 0.6281

Summary:
- uncorrected formation energy (meV per atom) = -663
- calculated volume (Å³ per atom) = 36.097
- total magnetization (μB per atom) = 0.0000

---

Material: Tm2GaAg2
Method: DFT, GGA-PBE
State: optimized geometry

a = 4.4276 Å, b = 14.3814 Å, c = 3.4209 Å
α = 90.00°, β = 90.00°, γ = 90.00°
Space group Cmmm (No. 65)
Asymmetric unit:
Tm 0.0000 0.1138 0.0000
Ga 0.0000 0.5000 0.5000
Ag 0.0000 0.3064 0.5000

Summary:
- calculated formation energy (eV per formula unit) = -1.742
- calculated volume (Å³ per atom) = 21.783
- total magnetization (μB per atom) = 0.0000

---

Material: LuZrCd2
Method: DFT, GGA-PBE
State: optimized geometry

a = 3.5426 Å, b = 3.5426 Å, c = 7.3928 Å
α = 90.00°, β = 90.00°, γ = 90.00°
Space group P4/mmm (No. 123)
Asymmetric unit:
Lu 0.0000 0.0000 0.0000
Zr 0.0000 0.0000 0.5000
Cd 0.5000 0.5000 0.2561

Summary:
- calculated formation energy (eV per formula unit) = -0.624
- calculated volume (Å³ per atom) = 23.195
- total magnetization (μB per atom) = 0.0803

---

Material: Ac6Sb2TeSe3
Method: DFT, GGA-PBE
State: optimized geometry

a = 20.1370 Å, b = 4.6305 Å, c = 9.2432 Å
α = 90.00°, β = 103.01°, γ = 90.00°
Space group C2/m (No. 12)
Asymmetric unit:
Ac 0.0029 0.0000 0.2365
Ac 0.1650 0.5000 0.0892
Ac 0.1719 0.5000 0.5787
Sb 0.1654 0.0000 0.8312
Te 0.0000 0.5000 0.5000
Se 0.0000 0.5000 0.0000
Se 0.1661 0.0000 0.3340

Summary:
- uncorrected formation energy (meV per atom) = -1602
- calculated volume (Å³ per atom) = 34.989
- total magnetization (μB per atom) = 0.0000

---

Material: Ac2TbHg
Method: DFT, GGA-PBE
State: optimized geometry

a = 3.9284 Å, b = 3.9284 Å, c = 33.4948 Å
α = 90.00°, β = 90.00°, γ = 120.00°
Space group R3m (No. 160, hexagonal axes)
Asymmetric unit:
Ac 0.0000 0.0000 0.0000
Ac 0.0000 0.0000 0.1784
Tb 0.0000 0.0000 0.7565
Hg 0.0000 0.0000 0.5889

Summary:
- calculated formation energy (eV per formula unit) = -0.433
- calculated volume (Å³ per atom) = 37.304
- total magnetization (μB per atom) = 0.0000

---

Material: HoGaPdAu
Method: DFT, GGA-PBE
State: optimized geometry

a = 6.7278 Å, b = 6.7278 Å, c = 6.7278 Å
α = 90.00°, β = 90.00°, γ = 90.00°
Space group F-43m (No. 216)
Asymmetric unit:
Ho 0.0000 0.0000 0.0000
Ga 0.0000 0.0000 0.5000
Pd 0.2500 0.2500 0.2500
Au 0.2500 0.2500 0.7500

Summary:
- calculated formation energy (eV per formula unit) = -2.869
- calculated volume (Å³ per atom) = 19.033
- total magnetization (μB per atom) = 0.0000

---

Material: Ba6As2I3F
Method: DFT, GGA-PBE
State: optimized geometry

a = 8.1077 Å, b = 14.0232 Å, c = 8.7340 Å
α = 90.00°, β = 108.13°, γ = 90.00°
Space group C2/m (No. 12)
Asymmetric unit:
Ba 0.2326 0.1639 0.2063
Ba 0.2401 0.5000 0.2096
As 0.0000 0.3337 0.0000
I 0.0000 0.1716 0.5000
I 0.0000 0.5000 0.5000
F 0.0000 0.0000 0.0000

Summary:
- uncorrected formation energy (meV per atom) = -1607
- calculated volume (Å³ per atom) = 39.322
- total magnetization (μB per atom) = 0.0000

---

Material: DyEr2Sc2
Method: DFT, GGA-PBE
State: optimized geometry

a = 9.0244 Å, b = 9.0244 Å, c = 3.5157 Å
α = 90.00°, β = 90.00°, γ = 90.00°
Space group P4/mbm (No. 127)
Asymmetric unit:
Dy 0.0000 0.0000 0.0000
Er 0.1754 0.3246 0.5000
Sc 0.1204 0.6204 0.0000

Summary:
- calculated formation energy (eV per formula unit) = 0.374
- calculated volume (Å³ per atom) = 28.632
- total magnetization (μB per atom) = 0.0001

---

Material: Ac2TmZn
Method: DFT, GGA-PBE
State: optimized geometry

a = 5.8505 Å, b = 5.8505 Å, c = 3.9100 Å
α = 90.00°, β = 90.00°, γ = 90.00°
Space group P4/mmm (No. 123)
Asymmetric unit:
Ac 0.0000 0.5000 0.0000
Tm 0.0000 0.0000 0.5000
Zn 0.5000 0.5000 0.5000

Summary:
- calculated formation energy (eV per formula unit) = -0.039
- calculated volume (Å³ per atom) = 33.458
- total magnetization (μB per atom) = 0.0000

---

Material: NpMnNiGe2
Method: DFT, GGA-PBE
State: optimized geometry

a = 4.0138 Å, b = 4.0138 Å, c = 10.5132 Å
α = 90.00°, β = 90.00°, γ = 90.00°
Space group I-4m2 (No. 119)
Asymmetric unit:
Np 0.0000 0.0000 0.0000
Mn 0.0000 0.5000 0.2500
Ni 0.0000 0.5000 0.7500
Ge 0.0000 0.0000 0.3795

Summary:
- calculated formation energy (eV per formula unit) = -1.143
- calculated volume (Å³ per atom) = 16.937
- total magnetization (μB per atom) = 1.4367

---

Material: CeThN
Method: DFT, GGA-PBE
State: optimized geometry

a = 3.5340 Å, b = 5.1448 Å, c = 7.2789 Å
α = 90.00°, β = 90.12°, γ = 90.00°
Space group P2_1/m (No. 11)
Asymmetric unit:
Ce 0.2486 0.2500 0.1426
Th 0.2505 0.2500 0.6241
N 0.2505 0.7500 0.6212

Summary:
- uncorrected formation energy (meV per atom) = -904
- calculated volume (Å³ per atom) = 22.057
- total magnetization (μB per atom) = 0.1632

---

Material: TiPCCl2
Method: DFT, GGA-PBE
State: optimized geometry

a = 4.2923 Å, b = 4.2923 Å, c = 4.1969 Å
α = 90.00°, β = 90.00°, γ = 90.00°
Space group P4/mmm (No. 123)
Asymmetric unit:
Ti 0.0000 0.0000 0.0000
P 0.5000 0.5000 0.0000
C 0.5000 0.5000 0.5000
Cl 0.0000 0.5000 0.5000

Summary:
- uncorrected formation energy (meV per atom) = 932
- calculated volume (Å³ per atom) = 15.465
- total magnetization (μB per atom) = 0.2111

---

Material: Ti5ZnSb2
Method: DFT, GGA-PBE
State: optimized geometry

a = 4.5408 Å, b = 12.9083 Å, c = 11.6778 Å
α = 90.00°, β = 90.00°, γ = 90.00°
Space group Cmcm (No. 63)
Asymmetric unit:
Ti 0.0000 0.1136 0.1321
Ti 0.0000 0.2972 0.7500
Ti 0.0000 0.3046 0.0114
Zn 0.0000 0.3099 0.2500
Sb 0.0000 0.1027 0.6122

Summary:
- uncorrected formation energy (meV per atom) = 77
- calculated volume (Å³ per atom) = 21.390
- total magnetization (μB per atom) = 0.0001

---

Material: Pa5Pt
Method: DFT, GGA-PBE
State: optimized geometry

a = 4.2992 Å, b = 15.3186 Å, c = 4.2312 Å
α = 90.00°, β = 90.00°, γ = 90.00°
Space group Cmmm (No. 65)
Asymmetric unit:
Pa 0.0000 0.0000 0.0000
Pa 0.0000 0.1657 0.5000
Pa 0.0000 0.3313 0.0000
Pt 0.0000 0.5000 0.5000

Summary:
- calculated formation energy (eV per formula unit) = -0.947
- calculated volume (Å³ per atom) = 23.221
- total magnetization (μB per atom) = 0.0000

---

Material: Ca6TlZn
Method: DFT, GGA-PBE
State: optimized geometry

a = 5.4400 Å, b = 5.4400 Å, c = 18.6969 Å
α = 90.00°, β = 90.00°, γ = 90.00°
Space group I4/mmm (No. 139)
Asymmetric unit:
Ca 0.0000 0.0000 0.2495
Ca 0.0000 0.5000 0.0971
Tl 0.0000 0.0000 0.0000
Zn 0.0000 0.0000 0.5000

Summary:
- calculated formation energy (eV per formula unit) = -1.432
- calculated volume (Å³ per atom) = 34.582
- total magnetization (μB per atom) = 0.0000

---

Material: LiTe2Se
Method: DFT, GGA-PBE
State: optimized geometry

a = 3.4160 Å, b = 3.4160 Å, c = 9.4529 Å
α = 90.00°, β = 90.00°, γ = 90.00°
Space group P4mm (No. 99)
Asymmetric unit:
Li 0.0000 0.0000 0.0000
Te 0.0000 0.0000 0.2929
Te 0.5000 0.5000 0.6492
Se 0.5000 0.5000 0.9111

Summary:
- uncorrected formation energy (meV per atom) = -311
- calculated volume (Å³ per atom) = 27.577
- total magnetization (μB per atom) = 0.0000

---

Material: Li2TeRh
Method: DFT, GGA-PBE
State: optimized geometry

a = 3.2123 Å, b = 3.8141 Å, c = 5.6043 Å
α = 90.00°, β = 90.00°, γ = 90.00°
Space group Pmm2 (No. 25)
Asymmetric unit:
Li 0.0000 0.0000 0.0000
Li 0.5000 0.5000 0.2403
Te 0.5000 0.5000 0.7139
Rh 0.0000 0.0000 0.5015

Summary:
- uncorrected formation energy (meV per atom) = -307
- calculated volume (Å³ per atom) = 17.166
- total magnetization (μB per atom) = 0.0000

---

Material: Tm12Co6Hg
Method: DFT, GGA-PBE
State: optimized geometry

a = 9.4839 Å, b = 9.4839 Å, c = 9.4839 Å
α = 90.00°, β = 90.00°, γ = 90.00°
Space group Im-3 (No. 204)
Asymmetric unit:
Tm 0.0000 0.1938 0.3010
Co 0.0000 0.3855 0.5000
Hg 0.0000 0.0000 0.0000

Summary:
- calculated formation energy (eV per formula unit) = -5.131
- calculated volume (Å³ per atom) = 22.448
- total magnetization (μB per atom) = 0.0000

---

Material: CsTl4Au2
Method: DFT, GGA-PBE
State: optimized geometry

a = 6.4409 Å, b = 6.4409 Å, c = 15.5762 Å
α = 90.00°, β = 90.00°, γ = 90.00°
Space group I4/mmm (No. 139)
Asymmetric unit:
Cs 0.0000 0.0000 0.0000
Tl 0.0000 0.0000 0.2392
Tl 0.0000 0.5000 0.0000
Au 0.0000 0.0000 0.4143

Summary:
- calculated formation energy (eV per formula unit) = 3.058
- calculated volume (Å³ per atom) = 46.156
- total magnetization (μB per atom) = 0.0000

---

Material: Mg4Cd5Pb
Method: DFT, GGA-PBE
State: optimized geometry

a = 3.3221 Å, b = 3.3221 Å, c = 20.6648 Å
α = 90.00°, β = 90.00°, γ = 90.00°
Space group P4/mmm (No. 123)
Asymmetric unit:
Mg 0.0000 0.0000 0.0942
Mg 0.0000 0.0000 0.2824
Cd 0.5000 0.5000 0.0000
Cd 0.5000 0.5000 0.1879
Cd 0.5000 0.5000 0.3776
Pb 0.0000 0.0000 0.5000

Summary:
- calculated formation energy (eV per formula unit) = -0.663
- calculated volume (Å³ per atom) = 22.806
- total magnetization (μB per atom) = 0.0000

---

Material: TaNb8V2
Method: DFT, GGA-PBE
State: optimized geometry

a = 14.2332 Å, b = 5.4384 Å, c = 5.1539 Å
α = 90.00°, β = 96.05°, γ = 90.00°
Space group C2/m (No. 12)
Asymmetric unit:
Ta 0.0000 0.0000 0.0000
Nb 0.0865 0.5000 0.1115
Nb 0.0971 0.2445 0.6098
Nb 0.2087 0.0000 0.1213
V 0.2396 0.5000 0.3728

Summary:
- calculated formation energy (eV per formula unit) = 2.022
- calculated volume (Å³ per atom) = 18.033
- total magnetization (μB per atom) = 0.0000